# 1
Density functional theory data (PBE) for a relaxed CdAs2Os crystal.

a = 3.440 Å, b = 4.687 Å, c = 4.389 Å
α = 90.00°, β = 90.00°, γ = 90.00°
Atoms (fractional coordinates):
Os  0.000  0.500  0.500
As  0.000  0.000  0.000
As  0.500  0.500  0.000
Cd  0.500  0.000  0.500

Values from the calculation:
- spin magnetization (μB per cell) = 0.0
- Fermi-level density of states (states/eV per atom) = 0.739
- space-group type = No. 47


# 2
Density functional theory data (PBE) for a relaxed CdAsOs2 crystal.

a = 2.796 Å, b = 2.796 Å, c = 10.728 Å
α = 90.00°, β = 90.00°, γ = 119.52°
Atoms (fractional coordinates):
As  0.000  0.000  0.444
Os  0.500  0.500  0.238
Os  0.000  0.000  0.032
Cd  0.500  0.500  0.786

Values from the calculation:
- excess energy over the best structure of this formula in the dataset (kJ/mol of formula units) = 111.0
- spin magnetization (μB per cell) = 0.6
- Fermi-level density of states (states/eV per atom) = 1.097
- space-group type = No. 35


# 3
Density functional theory data (PBE) for a relaxed CdAs2Os crystal.

a = 2.920 Å, b = 2.920 Å, c = 10.217 Å
α = 90.00°, β = 90.00°, γ = 118.04°
Atoms (fractional coordinates):
As  0.500  0.500  0.270
As  0.000  0.000  0.950
Cd  0.000  0.000  0.520
Os  0.500  0.500  0.761

Values from the calculation:
- spin magnetization (μB per cell) = 0.0
- Fermi-level density of states (states/eV per atom) = 0.825
- space-group type = No. 35


# 4
Density functional theory data (PBE) for a relaxed Cd2AsOs crystal.

a = 4.063 Å, b = 3.574 Å, c = 5.613 Å
α = 71.27°, β = 90.00°, γ = 90.00°
Atoms (fractional coordinates):
Cd  0.500  0.291  0.294
Cd  0.000  0.956  0.962
Os  0.000  0.688  0.499
As  0.500  0.565  0.745

Values from the calculation:
- spin magnetization (μB per cell) = 0.0
- Fermi-level density of states (states/eV per atom) = 0.377
- space-group type = No. 6


# 5
Density functional theory data (PBE) for a relaxed CdAs2Os crystal.

a = 4.645 Å, b = 4.645 Å, c = 4.645 Å
α = 60.00°, β = 60.00°, γ = 60.00°
Atoms (fractional coordinates):
Cd  0.500  0.500  0.500
Os  0.250  0.250  0.250
As  0.000  0.000  0.000
As  0.750  0.750  0.750

Values from the calculation:
- spin magnetization (μB per cell) = 0.0
- Fermi-level density of states (states/eV per atom) = 0.751
- space-group type = No. 216


# 6
Density functional theory data (PBE) for a relaxed CdAs2Os crystal.

a = 3.019 Å, b = 3.803 Å, c = 6.445 Å
α = 90.00°, β = 90.00°, γ = 90.00°
Atoms (fractional coordinates):
Os  0.500  0.500  0.819
Cd  0.000  0.000  0.509
As  0.000  0.000  0.951
As  0.500  0.500  0.220

Values from the calculation:
- spin magnetization (μB per cell) = 0.0
- Fermi-level density of states (states/eV per atom) = 0.532
- space-group type = No. 25


# 7
Density functional theory data (PBE) for a relaxed CdAsOs2 crystal.

a = 4.460 Å, b = 4.460 Å, c = 3.166 Å
α = 90.00°, β = 90.00°, γ = 90.00°
Atoms (fractional coordinates):
Cd  0.000  0.500  0.500
Os  0.500  0.500  0.000
Os  0.000  0.000  0.000
As  0.500  0.000  0.500

Values from the calculation:
- excess energy over the best structure of this formula in the dataset (kJ/mol of formula units) = 204.5
- spin magnetization (μB per cell) = 0.0
- Fermi-level density of states (states/eV per atom) = 1.154
- space-group type = No. 123


# 8
Density functional theory data (PBE) for a relaxed Cd2AsOs crystal.

a = 10.507 Å, b = 10.507 Å, c = 10.507 Å
α = 16.52°, β = 16.52°, γ = 16.52°
Atoms (fractional coordinates):
Cd  0.000  0.000  0.000
Cd  0.236  0.236  0.236
As  0.771  0.771  0.771
Os  0.494  0.494  0.494

Values from the calculation:
- spin magnetization (μB per cell) = 0.0
- Fermi-level density of states (states/eV per atom) = 0.520
- space-group type = No. 160


# 9
Density functional theory data (PBE) for a relaxed CdAs2Os crystal.

a = 5.873 Å, b = 5.873 Å, c = 7.131 Å
α = 65.68°, β = 65.68°, γ = 90.00°
Atoms (fractional coordinates):
As  0.678  0.125  0.250
As  0.375  0.322  0.750
As  0.072  0.625  0.250
As  0.875  0.928  0.750
Os  0.000  0.000  0.000
Os  0.750  0.250  0.500
Cd  0.250  0.750  0.500
Cd  0.500  0.500  0.000

Values from the calculation:
- spin magnetization (μB per cell) = 0.0
- Fermi-level density of states (states/eV per atom) = 0.484
- space-group type = No. 122


# 10
Density functional theory data (PBE) for a relaxed CdAsOs2 crystal.

a = 4.300 Å, b = 4.300 Å, c = 5.663 Å
α = 80.37°, β = 80.37°, γ = 40.17°
Atoms (fractional coordinates):
As  0.250  0.250  0.250
Os  0.507  0.507  0.451
Os  0.993  0.993  0.049
Cd  0.750  0.750  0.750

Values from the calculation:
- excess energy over the best structure of this formula in the dataset (kJ/mol of formula units) = 120.8
- spin magnetization (μB per cell) = 0.0
- Fermi-level density of states (states/eV per atom) = 0.860
- space-group type = No. 12


# 11
Density functional theory data (PBE) for a relaxed CdAsOs3 crystal.

a = 4.811 Å, b = 4.811 Å, c = 4.811 Å
α = 90.00°, β = 90.00°, γ = 90.00°
Atoms (fractional coordinates):
Cd  0.000  0.000  0.000
Os  0.000  0.000  0.500
Os  0.000  0.500  0.000
Os  0.500  0.000  0.000
As  0.500  0.500  0.500

Values from the calculation:
- excess energy over the best structure of this formula in the dataset (kJ/mol of formula units) = 813.3
- spin magnetization (μB per cell) = 1.3
- Fermi-level density of states (states/eV per atom) = 2.577
- space-group type = No. 221


# 12
Density functional theory data (PBE) for a relaxed Cd2AsOs crystal.

a = 9.880 Å, b = 9.880 Å, c = 9.880 Å
α = 17.26°, β = 17.26°, γ = 17.26°
Atoms (fractional coordinates):
Os  0.250  0.250  0.250
Cd  0.504  0.504  0.504
Cd  0.996  0.996  0.996
As  0.750  0.750  0.750

Values from the calculation:
- spin magnetization (μB per cell) = 0.0
- Fermi-level density of states (states/eV per atom) = 0.952
- space-group type = No. 166


Calculated formation enthalpy at 0 K (eV per atom), listed in the same order as above: 0.727, 0.563, 0.447, 0.339, 0.817, 0.419, 0.805, 0.162, 0.276, 0.588, 3.157, 0.537